An optimized crystal structure of Ca2CeAu3. Source: Alexandria, functional PBE-GGA.

extended XYZ file:
```
6
Lattice="3.6427 0.0000 0.0000 0.0000 3.6427 0.0000 0.0000 0.0000 11.1520" Properties=species:S:1:pos:R:3 pbc="T T T"
Ca 0.0000 0.0000 1.8291
Ca 0.0000 0.0000 9.3229
Ce 0.0000 0.0000 5.5760
Au 1.8214 1.8214 0.0000
Au 1.8214 1.8214 3.7472
Au 1.8214 1.8214 7.4047
```

Properties
- VASP energy (eV per atom) = -4.025
- Fermi-level density of states (states/eV per cell) = 9.1
- space group = P4/mmm, No. 123
- calculated formation energy (kJ/mol of formula units) = -423